[1]
{"formula": "Li2HgPt", "functional": "PBE-GGA", "state": "optimized geometry", "lattice": [[-2.055, 2.055, 3.638], [2.055, -2.055, 3.638], [2.055, 2.055, -3.638]], "species": ["Li", "Li", "Hg", "Pt"], "frac_coords": [[0.250, 0.750, 0.500], [0.750, 0.250, 0.500], [0.000, 0.000, 0.000], [0.500, 0.500, 0.000]], "delta_e_f_mev_per_atom": -457}

---

[2]
{"formula": "SnBiMo", "functional": "PBE-GGA", "state": "optimized geometry", "lattice": [[5.001, -1.656, 0.000], [5.001, 1.656, 0.000], [-1.558, 0.000, 8.617]], "species": ["Sn", "Sn", "Bi", "Bi", "Mo", "Mo"], "frac_coords": [[0.091, 0.091, 0.160], [0.909, 0.909, 0.840], [0.145, 0.145, 0.619], [0.855, 0.855, 0.381], [0.352, 0.352, 0.097], [0.648, 0.648, 0.903]], "delta_e_f_mev_per_atom": 222, "polymorph_energy_mev_per_atom": 27}